Record 1
K3Th3AuS8: optimized geometry, PBE.

Cell: 8.747 8.198 8.618 Å, 116.24 90.00 122.24°
Atoms (fractional coordinates):
S (0.205, 0.409, 0.670)
S (0.682, 0.950, 0.719)
S (0.732, 0.050, 0.281)
S (0.268, 0.950, 0.719)
S (0.740, 0.480, 0.711)
S (0.318, 0.050, 0.281)
S (0.260, 0.520, 0.289)
S (0.795, 0.591, 0.330)
K (0.500, 0.500, 0.000)
K (0.000, 0.500, 0.000)
K (0.000, 0.000, 0.000)
Th (0.000, 0.500, 0.500)
Th (0.500, 0.000, 0.500)
Th (0.500, 0.500, 0.500)
Au (0.000, 0.000, 0.500)



Record 2
LiMg3N: optimized geometry, PBE.

Cell: 4.357 4.357 4.357 Å, 90.00 90.00 90.00°
Atoms (fractional coordinates):
Mg (0.000, 0.000, 0.500)
Mg (0.500, 0.000, 0.000)
Mg (0.000, 0.500, 0.000)
Li (0.500, 0.500, 0.500)
N (0.000, 0.000, 0.000)



| no. | formation energy (no corrections) (eV per atom) | V (Å³ per cell) | M_tot (μB per formula unit) |
| --- | --- | --- | --- |
| 1 | -1.525 | 446 | 0.0 |
| 2 | -0.212 | 83 | 0.0 |